No. 1
The following is a PBE calculation of a relaxed structure of Ba4HfPa3N8, from Alexandria.

Unit cell a=7.1479 b=7.6675 c=7.1483 alpha=117.78 beta=120.00 gamma=90.00
Fractional positions:
Ba  0.5000  0.0000  0.0000
Ba  0.5000  0.0000  0.5000
Ba  0.0000  0.0000  0.0000
Ba  0.0000  0.0000  0.5000
Hf  0.0000  0.5000  0.0000
Pa  0.5000  0.5000  0.0000
Pa  0.5000  0.5000  0.5000
Pa  0.0000  0.5000  0.5000
N  0.2208  0.6697  0.9487
N  0.2208  0.6697  0.4416
N  0.2771  0.3311  0.5542
N  0.7279  0.6697  0.9487
N  0.2721  0.3303  0.0513
N  0.7229  0.6689  0.4458
N  0.7792  0.3303  0.5584
N  0.7792  0.3303  0.0513

Computed properties:
The value obtained for the theoretical density is 8.901 g/cm³. The value obtained for the uncorrected formation energy is -1.2637 eV per atom. The calculation puts the total DFT energy (no corrections) at -8.310 eV/atom. The symmetry is R-3m (166).

---

No. 2
The following is a PBE calculation of a relaxed structure of SrCd2Pd2, from Alexandria.

Unit cell a=8.0615 b=8.0615 c=3.2817 alpha=90.00 beta=90.00 gamma=90.00
Fractional positions:
Sr  0.0000  0.0000  0.0000
Sr  0.5000  0.5000  0.0000
Pd  0.3418  0.8418  0.0000
Pd  0.8418  0.6582  0.0000
Pd  0.6582  0.1582  0.0000
Pd  0.1582  0.3418  0.0000
Cd  0.1359  0.6359  0.5000
Cd  0.6359  0.8641  0.5000
Cd  0.8641  0.3641  0.5000
Cd  0.3641  0.1359  0.5000

Computed properties:
The value obtained for the theoretical density is 8.180 g/cm³. The calculated formation energy is -0.4173 eV per atom. The calculation puts the polymorph energy (0 for the lowest one) at 29.7 kJ/mol of formula units. The calculation puts the total DFT energy (no corrections) at -3.197 eV/atom. The symmetry is P4/mbm (127).

---

No. 3
The following is a PBE calculation of a relaxed structure of Cs2Na4In, from Alexandria.

Unit cell a=6.2105 b=6.2105 c=11.3341 alpha=74.10 beta=74.10 gamma=90.00
Fractional positions:
Cs  0.3581  0.3581  0.2838
Cs  0.6419  0.6419  0.7162
Na  0.1479  0.1479  0.7042
Na  0.8521  0.8521  0.2958
Na  0.0000  0.5000  0.0000
Na  0.5000  0.0000  0.0000
In  0.0000  0.0000  0.0000

Computed properties:
The value obtained for the theoretical density is 1.947 g/cm³. The calculated formation energy is 0.0436 eV per atom. The calculation puts the total DFT energy (no corrections) at -1.345 eV/atom. The symmetry is I4/mmm (139).

---

No. 4
The following is a PBE calculation of a relaxed structure of RbZnHg2Pt, from Alexandria.

Unit cell a=5.4076 b=5.4076 c=4.9932 alpha=90.00 beta=90.00 gamma=90.00
Fractional positions:
Zn  0.0000  0.0000  0.5000
Rb  0.5000  0.5000  0.5000
Hg  0.0000  0.5000  0.0000
Hg  0.5000  0.0000  0.0000
Pt  0.0000  0.0000  0.0000

Computed properties:
The value obtained for the theoretical density is 8.497 g/cm³. The calculated formation energy is -0.2812 eV per atom. The calculation puts the total DFT energy (no corrections) at -2.058 eV/atom. The symmetry is P4/mmm (123).